## BeCr2 (PBE)

Data for BeCr2 after structural relaxation.

Cell and atoms, written as POSCAR:
```
BeCr2
1.0
1.482 4.210 -0.004
-1.482 4.210 -0.004
0.000 1.664 5.062
Be Cr
2 4
direct
0.327 0.327 0.842
0.673 0.673 0.158
0.000 0.000 0.500
0.000 0.000 0.000
0.340 0.340 0.327
0.660 0.660 0.673
```

Values from the calculation:
Its magnetic moment is 0.00 μB/cell. The space-group type is C2/m (12). Its crystal system is monoclinic. The formation energy comes out at 0.059 eV/atom. As for the final energy: -7.599 eV per atom.